1.
VASP calculation (PBE) on a geometry-optimized LiTlAsBr2 structure.

Energy relative to the elements, uncorrected in eV per atom: -0.530

```
5
Lattice="3.635 0.000 0.000 -0.007 5.436 0.000 -1.748 -2.613 8.118" Properties=species:S:1:pos:R:3 pbc="T T T"
Li 0.000 0.000 0.000
Tl 1.884 -0.066 5.195
As 0.070 -0.572 2.579
Br 0.068 1.797 1.919
Br 0.062 2.745 6.458
```

***

2.
VASP calculation (PBE) on a geometry-optimized LiTlAsBr2 structure.

Energy relative to the elements, uncorrected in eV per atom: -0.592

```
5
Lattice="4.040 0.000 0.000 -0.076 4.436 0.000 -1.346 -0.849 8.236" Properties=species:S:1:pos:R:3 pbc="T T T"
Li 0.000 0.000 0.000
Tl -0.711 1.793 4.118
As 1.347 -0.425 4.118
Br 0.777 0.097 6.735
Br 1.842 3.490 1.500
```

***

3.
VASP calculation (PBE) on a geometry-optimized LiTlAs2Br structure.

Energy relative to the elements, uncorrected in eV per atom: 0.145

```
5
Lattice="4.648 0.000 0.000 0.000 4.648 0.000 0.000 0.000 6.091" Properties=species:S:1:pos:R:3 pbc="T T T"
Li 0.000 0.000 0.000
Tl 2.324 2.324 3.045
As 0.000 2.324 0.000
As 2.324 0.000 0.000
Br 0.000 0.000 3.045
```

***

4.
VASP calculation (PBE) on a geometry-optimized LiTlAsBr2 structure.

Energy relative to the elements, uncorrected in eV per atom: -0.558

```
5
Lattice="5.245 0.000 0.000 0.002 5.671 0.000 2.612 2.648 4.744" Properties=species:S:1:pos:R:3 pbc="T T T"
Li 0.000 0.000 0.000
Tl 5.217 5.252 3.956
As 5.233 2.406 3.958
Br 2.603 5.326 1.820
Br 5.232 2.441 1.116
```